## ReSi2Pb2 (GGA-PBEsol)

Data for an optimized crystal structure of ReSi2Pb2.

a = 3.3751 Å, b = 3.3751 Å, c = 9.1106 Å
α = 100.67°, β = 100.67°, γ = 90.00°
Atoms (fractional coordinates):
Si (0.7500, 0.2500, 0.5000)
Si (0.2500, 0.7500, 0.5000)
Pb (0.5940, 0.5940, 0.1881)
Pb (0.4060, 0.4060, 0.8119)
Re (0.0000, 0.0000, 0.0000)

Results
Volume: 20.0 Å³ per atom
Formation energy without anion corrections: 0.728 eV/atom
E_tot: -5.8367 eV per atom
M_tot: 0.001 μB/f.u.

---

## AsOs2C (GGA-PBEsol)

Data for an optimized crystal structure of AsOs2C.

a = 4.0900 Å, b = 4.0900 Å, c = 4.0900 Å
α = 60.00°, β = 60.00°, γ = 60.00°
Atoms (fractional coordinates):
Os (0.2500, 0.2500, 0.2500)
Os (0.7500, 0.7500, 0.7500)
As (0.5000, 0.5000, 0.5000)
C (0.0000, 0.0000, 0.0000)

Results
Volume: 12.1 Å³ per atom
DFT formation energy: 1.16 eV per atom
E_tot: -8.6379 eV per atom
M_tot: 0.000 μB/f.u.

---

## Rb3TlCl6 (GGA-PBEsol)

Data for an optimized crystal structure of Rb3TlCl6.

a = 7.8907 Å, b = 7.8907 Å, c = 7.8907 Å
α = 60.00°, β = 60.00°, γ = 60.00°
Atoms (fractional coordinates):
Cl (0.7696, 0.2304, 0.7696)
Cl (0.2304, 0.2304, 0.7696)
Cl (0.7696, 0.7696, 0.2304)
Cl (0.2304, 0.7696, 0.2304)
Cl (0.7696, 0.2304, 0.2304)
Cl (0.2304, 0.7696, 0.7696)
Rb (0.2500, 0.2500, 0.2500)
Rb (0.7500, 0.7500, 0.7500)
Rb (0.5000, 0.5000, 0.5000)
Tl (0.0000, 0.0000, 0.0000)

Results
Volume: 34.7 Å³ per atom
Formation energy without anion corrections: -1.413 eV/atom
E_tot: -3.1885 eV per atom
M_tot: 0.000 μB/f.u.

---

## LiTlAs2 (GGA-PBEsol)

Data for an optimized crystal structure of LiTlAs2.

a = 3.0734 Å, b = 3.9896 Å, c = 6.8517 Å
α = 90.00°, β = 90.00°, γ = 90.00°
Atoms (fractional coordinates):
As (0.0000, 0.0000, 0.8223)
As (0.0000, 0.0000, 0.1777)
Li (0.5000, 0.5000, 0.0000)
Tl (0.5000, 0.5000, 0.5000)

Results
Volume: 21.0 Å³ per atom
DFT formation energy: -0.18 eV per atom
E_tot: -3.8824 eV per atom
M_tot: 0.000 μB/f.u.

---

## InReHg2 (GGA-PBEsol)

Data for an optimized crystal structure of InReHg2.

a = 2.8597 Å, b = 5.1740 Å, c = 5.1740 Å
α = 90.00°, β = 90.00°, γ = 90.00°
Atoms (fractional coordinates):
Re (0.5000, 0.0000, 0.0000)
Hg (0.0000, 0.5000, 0.0000)
Hg (0.0000, 0.0000, 0.5000)
In (0.5000, 0.5000, 0.5000)

Results
Volume: 19.1 Å³ per atom
DFT formation energy: 0.69 eV per atom
E_tot: -3.6727 eV per atom
M_tot: 0.000 μB/f.u.

---

## Mg2InSb (GGA-PBEsol)

Data for an optimized crystal structure of Mg2InSb.

a = 3.4259 Å, b = 4.4285 Å, c = 6.2403 Å
α = 90.00°, β = 90.00°, γ = 90.00°
Atoms (fractional coordinates):
Sb (0.0000, 0.0000, 0.4658)
Mg (0.5000, 0.5000, 0.2711)
Mg (0.0000, 0.0000, 0.9830)
In (0.5000, 0.5000, 0.7800)

Results
Volume: 23.7 Å³ per atom
Formation energy without anion corrections: -0.097 eV/atom
Offset from the most stable computed form: 75 meV per atom
E_tot: -2.8403 eV per atom
M_tot: 0.000 μB/f.u.

---

## MoRh2SeBr (GGA-PBEsol)

Data for an optimized crystal structure of MoRh2SeBr.

a = 4.7106 Å, b = 4.7341 Å, c = 4.7341 Å
α = 90.00°, β = 90.00°, γ = 90.00°
Atoms (fractional coordinates):
Se (0.5000, 0.0000, 0.0000)
Rh (0.0000, 0.0000, 0.5000)
Rh (0.0000, 0.5000, 0.0000)
Br (0.5000, 0.5000, 0.5000)
Mo (0.0000, 0.0000, 0.0000)

Results
Volume: 21.1 Å³ per atom
Formation energy without anion corrections: 0.986 eV/atom
E_tot: -5.7667 eV per atom
M_tot: 0.000 μB/f.u.

---

## MgNi2Cl (GGA-PBEsol)

Data for an optimized crystal structure of MgNi2Cl.

a = 3.0233 Å, b = 3.7625 Å, c = 4.8702 Å
α = 90.00°, β = 89.87°, γ = 90.00°
Atoms (fractional coordinates):
Mg (0.0000, 0.5000, 0.0000)
Ni (0.5006, 0.0000, 0.7551)
Ni (0.4994, 0.0000, 0.2449)
Cl (0.5000, 0.5000, 0.5000)

Results
Volume: 13.8 Å³ per atom
Formation energy without anion corrections: -0.024 eV/atom
E_tot: -4.0335 eV per atom
M_tot: 0.010 μB/f.u.

---

## Sr3OsAu (GGA-PBEsol)

Data for an optimized crystal structure of Sr3OsAu.

a = 5.6877 Å, b = 5.6877 Å, c = 5.6877 Å
α = 90.00°, β = 90.00°, γ = 90.00°
Atoms (fractional coordinates):
Os (0.5000, 0.5000, 0.5000)
Sr (0.0000, 0.0000, 0.5000)
Sr (0.5000, 0.0000, 0.0000)
Sr (0.0000, 0.5000, 0.0000)
Au (0.0000, 0.0000, 0.0000)

Results
Volume: 36.8 Å³ per atom
DFT formation energy: 0.87 eV per atom
E_tot: -3.4626 eV per atom
M_tot: 1.853 μB/f.u.

---

## RePtSe2 (GGA-PBEsol)

Data for an optimized crystal structure of RePtSe2.

a = 5.6843 Å, b = 5.6843 Å, c = 6.6495 Å
α = 115.30°, β = 115.30°, γ = 90.00°
Atoms (fractional coordinates):
Pt (0.0000, 0.0000, 0.0000)
Pt (0.2500, 0.7500, 0.5000)
Se (0.6250, 0.6132, 0.7500)
Se (0.8632, 0.3750, 0.2500)
Se (0.1250, 0.1368, 0.7500)
Se (0.3868, 0.8750, 0.2500)
Re (0.5000, 0.5000, 0.0000)
Re (0.7500, 0.2500, 0.5000)

Results
Volume: 21.4 Å³ per atom
Formation energy without anion corrections: 0.394 eV/atom
Offset from the most stable computed form: 64 meV per atom
E_tot: -6.6048 eV per atom
M_tot: 0.000 μB/f.u.

---

## KAsRh2 (GGA-PBEsol)

Data for an optimized crystal structure of KAsRh2.

a = 3.3909 Å, b = 4.3406 Å, c = 4.3406 Å
α = 90.00°, β = 90.00°, γ = 90.00°
Atoms (fractional coordinates):
Rh (0.0000, 0.5000, 0.0000)
Rh (0.0000, 0.0000, 0.5000)
As (0.5000, 0.5000, 0.5000)
K (0.5000, 0.0000, 0.0000)

Results
Volume: 16.0 Å³ per atom
DFT formation energy: 0.50 eV per atom
E_tot: -5.1298 eV per atom
M_tot: 0.000 μB/f.u.

---

## Sr3CdO4 (GGA-PBEsol)

Data for an optimized crystal structure of Sr3CdO4.

a = 5.0322 Å, b = 5.0322 Å, c = 5.0322 Å
α = 90.00°, β = 90.00°, γ = 90.00°
Atoms (fractional coordinates):
O (0.5000, 0.5000, 0.5000)
O (0.0000, 0.5000, 0.0000)
O (0.5000, 0.0000, 0.0000)
O (0.0000, 0.0000, 0.5000)
Sr (0.0000, 0.5000, 0.5000)
Sr (0.5000, 0.0000, 0.5000)
Sr (0.5000, 0.5000, 0.0000)
Cd (0.0000, 0.0000, 0.0000)

Results
Volume: 15.9 Å³ per atom
Formation energy without anion corrections: -2.314 eV/atom
E_tot: -5.7783 eV per atom
M_tot: 0.000 μB/f.u.